# 1
Pd4AuSe8 | PBE | optimized geometry

Magnetization, μB per formula unit: 0.000
E_tot, eV per formula unit: -54.68
Space-group type: R-3m
Calculated volume, A^3/atom: 24.01

Unit cell a=7.7397 b=7.7397 c=7.7397 alpha=57.91 beta=57.91 gamma=57.91
Fractional coordinates of all 13 atoms:
Pd (0.5000, 0.0000, 0.5000)
Pd (0.0000, 0.5000, 0.5000)
Pd (0.5000, 0.5000, 0.0000)
Pd (0.0000, 0.0000, 0.0000)
Au (0.5000, 0.5000, 0.5000)
Se (0.2424, 0.7260, 0.2424)
Se (0.7576, 0.7576, 0.2740)
Se (0.7576, 0.2740, 0.7576)
Se (0.2740, 0.7576, 0.7576)
Se (0.7353, 0.7353, 0.7353)
Se (0.2647, 0.2647, 0.2647)
Se (0.7260, 0.2424, 0.2424)
Se (0.2424, 0.2424, 0.7260)

# 2
Ho3Tm12In | PBE | optimized geometry

Formation energy from the elements, meV/atom: -42
Magnetization, μB per formula unit: 0.001
E_tot, eV per formula unit: -70.80
Space-group type: P4/mmm
Calculated volume, A^3/atom: 29.57

Unit cell a=4.8900 b=4.8900 c=19.7847 alpha=90.00 beta=90.00 gamma=90.00
Fractional coordinates of all 16 atoms:
Ho (0.0000, 0.0000, 0.2484)
Ho (0.0000, 0.0000, 0.5000)
Ho (0.0000, 0.0000, 0.7516)
Tm (0.5000, 0.5000, 0.0000)
Tm (0.5000, 0.5000, 0.2442)
Tm (0.5000, 0.5000, 0.5000)
Tm (0.5000, 0.5000, 0.7558)
Tm (0.5000, 0.0000, 0.1214)
Tm (0.5000, 0.0000, 0.3733)
Tm (0.5000, 0.0000, 0.6267)
Tm (0.5000, 0.0000, 0.8786)
Tm (0.0000, 0.5000, 0.1214)
Tm (0.0000, 0.5000, 0.3733)
Tm (0.0000, 0.5000, 0.6267)
Tm (0.0000, 0.5000, 0.8786)
In (0.0000, 0.0000, 0.0000)

# 3
AlSn2Pd6 | PBE | optimized geometry

Formation energy from the elements, meV/atom: -492
Magnetization, μB per formula unit: 0.000
E_tot, eV per formula unit: -47.34
Space-group type: C2/m
E above lowest polymorph, eV per formula unit: 1.21
Calculated volume, A^3/atom: 18.64

Unit cell a=4.0272 b=6.7506 c=7.3102 alpha=117.50 beta=105.82 gamma=90.00
Fractional coordinates of all 9 atoms:
Al (0.0000, 0.0000, 0.0000)
Sn (0.6559, 0.6557, 0.3115)
Sn (0.3441, 0.3443, 0.6885)
Pd (0.1645, 0.3941, 0.3294)
Pd (0.8355, 0.0647, 0.6706)
Pd (0.8355, 0.6059, 0.6706)
Pd (0.5000, 0.2207, 0.0000)
Pd (0.1645, 0.9353, 0.3294)
Pd (0.5000, 0.7793, 0.0000)